This record from the Alexandria database describes a geometry-optimized La7PmHo3 structure. The functional is PBE-GGA.

CIF file:
```
data_La7PmHo3
_chemical_formula_sum 'La7 Pm1 Ho3'
_cell_length_a 8.657
_cell_length_b 7.305
_cell_length_c 7.305
_cell_angle_alpha 120.00
_cell_angle_beta 90.00
_cell_angle_gamma 90.00
_symmetry_space_group_name_H-M 'P 1'
_symmetry_Int_Tables_number 1
_symmetry_space_group_name_Hall 'P 1'
loop_
_atom_site_label
_atom_site_type_symbol
_atom_site_fract_x
_atom_site_fract_y
_atom_site_fract_z
La1 La 0.100 0.164 0.836
La2 La 0.100 0.164 0.329
La3 La 0.132 0.667 0.333
La4 La 0.466 0.836 0.164
La5 La 0.466 0.328 0.164
La6 La 0.466 0.836 0.672
La7 La 0.100 0.671 0.836
Pm1 Pm 0.438 0.333 0.667
Ho1 Ho 0.783 0.500 0.500
Ho2 Ho 0.783 0.500 0.999
Ho3 Ho 0.783 0.001 0.500
```

Results
Space group = P3m1 (156)
Energy of formation from the pure elements = 0.1752 eV per atom
M_tot = 0.000 μB per formula unit


This record from the Alexandria database describes a geometry-optimized La6Pm5Ho2 structure. The functional is PBE-GGA.

CIF file:
```
data_La6Pm5Ho2
_chemical_formula_sum 'La12 Pm10 Ho4'
_cell_length_a 3.673
_cell_length_b 11.865
_cell_length_c 21.219
_cell_angle_alpha 90.00
_cell_angle_beta 90.00
_cell_angle_gamma 90.00
_symmetry_space_group_name_H-M 'P 1'
_symmetry_Int_Tables_number 1
_symmetry_space_group_name_Hall 'P 1'
loop_
_atom_site_label
_atom_site_type_symbol
_atom_site_fract_x
_atom_site_fract_y
_atom_site_fract_z
La1 La 0.000 0.083 0.368
La2 La 0.000 0.917 0.632
La3 La 0.000 0.583 0.132
La4 La 0.000 0.417 0.868
La5 La 0.500 0.327 0.139
La6 La 0.500 0.673 0.861
La7 La 0.500 0.827 0.361
La8 La 0.500 0.173 0.639
La9 La 0.000 0.564 0.419
La10 La 0.000 0.436 0.581
La11 La 0.000 0.064 0.081
La12 La 0.000 0.936 0.919
Pm1 Pm 0.500 0.304 0.443
Pm2 Pm 0.500 0.696 0.557
Pm3 Pm 0.500 0.804 0.057
Pm4 Pm 0.500 0.196 0.943
Pm5 Pm 0.500 0.592 0.272
Pm6 Pm 0.500 0.408 0.728
Pm7 Pm 0.500 0.092 0.228
Pm8 Pm 0.500 0.908 0.772
Pm9 Pm 0.500 0.500 0.000
Pm10 Pm 0.500 0.000 0.500
Ho1 Ho 0.000 0.335 0.291
Ho2 Ho 0.000 0.665 0.709
Ho3 Ho 0.000 0.835 0.209
Ho4 Ho 0.000 0.165 0.791
```

Results
Space group = Pbam (55)
Energy of formation from the pure elements = 0.0958 eV per atom
M_tot = 0.000 μB per formula unit


This record from the Alexandria database describes a geometry-optimized La3Pm2Ho3 structure. The functional is PBE-GGA.

CIF file:
```
data_La3Pm2Ho3
_chemical_formula_sum 'La3 Pm2 Ho3'
_cell_length_a 5.873
_cell_length_b 6.099
_cell_length_c 8.821
_cell_angle_alpha 110.82
_cell_angle_beta 109.44
_cell_angle_gamma 90.00
_symmetry_space_group_name_H-M 'P 1'
_symmetry_Int_Tables_number 1
_symmetry_space_group_name_Hall 'P 1'
loop_
_atom_site_label
_atom_site_type_symbol
_atom_site_fract_x
_atom_site_fract_y
_atom_site_fract_z
La1 La 0.364 0.925 0.728
La2 La 0.500 0.500 0.000
La3 La 0.636 0.075 0.272
Pm1 Pm 0.751 0.683 0.501
Pm2 Pm 0.249 0.317 0.499
Ho1 Ho 0.870 0.323 0.741
Ho2 Ho 0.130 0.677 0.259
Ho3 Ho 0.000 0.000 0.000
```

Results
Space group = C2/m (12)
Energy of formation from the pure elements = 0.0928 eV per atom
M_tot = 0.000 μB per formula unit


This record from the Alexandria database describes a geometry-optimized La10PmHo4 structure. The functional is PBE-GGA.

CIF file:
```
data_La10PmHo4
_chemical_formula_sum 'La10 Pm1 Ho4'
_cell_length_a 7.954
_cell_length_b 9.110
_cell_length_c 9.110
_cell_angle_alpha 79.01
_cell_angle_beta 64.12
_cell_angle_gamma 64.12
_symmetry_space_group_name_H-M 'P 1'
_symmetry_Int_Tables_number 1
_symmetry_space_group_name_Hall 'P 1'
loop_
_atom_site_label
_atom_site_type_symbol
_atom_site_fract_x
_atom_site_fract_y
_atom_site_fract_z
La1 La 0.250 0.500 0.500
La2 La 0.710 0.218 0.782
La3 La 0.072 0.218 0.218
La4 La 0.509 0.782 0.782
La5 La 0.709 0.782 0.218
La6 La 0.290 0.782 0.218
La7 La 0.750 0.500 0.500
La8 La 0.291 0.218 0.782
La9 La 0.491 0.218 0.218
La10 La 0.928 0.782 0.782
Pm1 Pm 0.000 0.000 0.000
Ho1 Ho 0.229 0.000 0.541
Ho2 Ho 0.771 0.459 0.000
Ho3 Ho 0.229 0.541 0.000
Ho4 Ho 0.771 0.000 0.459
```

Results
Space group = I4/mmm (139)
Energy of formation from the pure elements = 0.2013 eV per atom
M_tot = 0.001 μB per formula unit


This record from the Alexandria database describes a geometry-optimized La3Pm7Ho2 structure. The functional is PBE-GGA.

CIF file:
```
data_La3Pm7Ho2
_chemical_formula_sum 'La3 Pm7 Ho2'
_cell_length_a 6.660
_cell_length_b 6.660
_cell_length_c 12.061
_cell_angle_alpha 73.97
_cell_angle_beta 73.97
_cell_angle_gamma 60.00
_symmetry_space_group_name_H-M 'P 1'
_symmetry_Int_Tables_number 1
_symmetry_space_group_name_Hall 'P 1'
loop_
_atom_site_label
_atom_site_type_symbol
_atom_site_fract_x
_atom_site_fract_y
_atom_site_fract_z
La1 La 0.000 0.000 0.000
La2 La 0.153 0.153 0.540
La3 La 0.847 0.847 0.460
Pm1 Pm 0.500 0.500 0.500
Pm2 Pm 0.081 0.585 0.750
Pm3 Pm 0.585 0.585 0.750
Pm4 Pm 0.585 0.081 0.750
Pm5 Pm 0.919 0.415 0.250
Pm6 Pm 0.415 0.919 0.250
Pm7 Pm 0.415 0.415 0.250
Ho1 Ho 0.334 0.334 0.999
Ho2 Ho 0.666 0.666 0.001
```

Results
Space group = R-3m (166)
Energy of formation from the pure elements = 0.2561 eV per atom
M_tot = 0.000 μB per formula unit


This record from the Alexandria database describes a geometry-optimized LaPm2Ho structure. The functional is PBE-GGA.

CIF file:
```
data_LaPm2Ho
_chemical_formula_sum 'La1 Pm2 Ho1'
_cell_length_a 3.642
_cell_length_b 3.642
_cell_length_c 12.097
_cell_angle_alpha 81.34
_cell_angle_beta 81.34
_cell_angle_gamma 60.00
_symmetry_space_group_name_H-M 'P 1'
_symmetry_Int_Tables_number 1
_symmetry_space_group_name_Hall 'P 1'
loop_
_atom_site_label
_atom_site_type_symbol
_atom_site_fract_x
_atom_site_fract_y
_atom_site_fract_z
La1 La 0.500 0.500 0.500
Ho1 Ho 0.000 0.000 0.000
Pm1 Pm 0.748 0.748 0.757
Pm2 Pm 0.252 0.252 0.243
```

Results
Space group = R-3m (166)
Energy of formation from the pure elements = 0.0203 eV per atom
M_tot = 0.000 μB per formula unit


| no. | calculated volume (A^3/atom) | calculated density (g/cm3) |
| --- | --- | --- |
| 1 | 36.4 | 6.69 |
| 2 | 35.6 | 6.78 |
| 3 | 34.5 | 7.23 |
| 4 | 35.6 | 6.82 |
| 5 | 36.6 | 6.66 |
| 6 | 34.2 | 7.21 |